1.
NiGeAsPt2 after structural relaxation, computed with PBE-GGA.

## Properties
volume	105.6	Å³ per cell
calculated total energy	-4.55	eV/atom
space group	P4/mmm (123)

The structure in POSCAR format:
```
NiGeAsPt2
1.0
-0.7430 -4.2249 -1.8320
-1.8029 -1.5226 4.2426
-4.2667 1.3297 -1.3360
As Ge Pt Ni
1 1 2 1
direct
0.0000 0.0000 0.0000
0.0000 0.5000 0.0000
0.5000 0.0000 0.0000
0.0000 0.0000 0.5000
0.5000 0.5000 0.5000
```

=====

2.
LiIr3Se after structural relaxation, computed with PBE-GGA.

## Properties
volume	74.7	Å³ per cell
calculated total energy	-5.21	eV/atom
ΔE_f (raw)	1.182	eV per atom
polymorph energy (0 for the lowest one)	194.5	meV per atom
space group	Pm-3m (221)

The structure in POSCAR format:
```
LiIr3Se
1.0
-1.0751 -3.2489 2.4543
1.3753 -2.6790 -2.9439
3.8324 0.0500 1.7449
Ir Se Li
3 1 1
direct
0.0000 0.0000 0.5000
0.5000 0.0000 0.0000
0.0000 0.5000 0.0000
0.5000 0.5000 0.5000
0.0000 0.0000 0.0000
```

=====

3.
Cr6H3N after structural relaxation, computed with PBE-GGA.

## Properties
volume	165.5	Å³ per cell
calculated total energy	-7.68	eV/atom
space group	P2_1/c (14)

The structure in POSCAR format:
```
Cr6H3N
1.0
-0.0357 4.6278 0.7977
-1.6833 -0.8255 4.7138
6.5516 -0.3729 2.2743
Cr H N
12 6 2
direct
0.6598 0.1672 0.5804
0.1544 0.3245 0.4324
0.8443 0.9573 0.2526
0.1598 0.3328 0.0804
0.3443 0.5427 0.7526
0.3456 0.8245 0.0676
0.6544 0.1755 0.9324
0.8456 0.6755 0.5676
0.6557 0.4573 0.2474
0.8402 0.6672 0.9196
0.3402 0.8328 0.4196
0.1557 0.0427 0.7474
0.0000 0.0000 0.5000
0.4983 0.8728 0.8150
0.5017 0.1272 0.1850
0.9983 0.6272 0.3150
0.5000 0.5000 0.0000
0.0017 0.3728 0.6850
0.0000 0.0000 0.0000
0.5000 0.5000 0.5000
```